Run a
Computed, not measured: crystalline SrNd6S8 at its relaxed geometry at the GGA-PBE level of DFT.

Cell: 8.126 8.126 8.126 Å, 96.32 96.32 96.32°
Element x y z (fractional)
Sr  0.000  0.000  0.000
Nd  0.642  0.438  0.814
Nd  0.438  0.814  0.642
Nd  0.814  0.642  0.438
Nd  0.358  0.562  0.186
Nd  0.562  0.186  0.358
Nd  0.186  0.358  0.562
S  0.766  0.766  0.766
S  0.234  0.234  0.234
S  0.572  0.845  0.336
S  0.845  0.336  0.572
S  0.336  0.572  0.845
S  0.428  0.155  0.664
S  0.155  0.664  0.428
S  0.664  0.428  0.155

- Crystal system: trigonal
- Magnetic moment: 0.000 μB/atom
- Density of states at the Fermi level: 5.69 states/eV/cell

***

Run b
Computed, not measured: crystalline SrNd6S8 at its relaxed geometry at the GGA-PBE level of DFT.

Cell: 8.150 8.150 8.150 Å, 60.00 60.00 60.00°
Element x y z (fractional)
Sr  0.000  0.000  0.000
Nd  0.000  0.500  0.500
Nd  0.500  0.000  0.000
Nd  0.500  0.500  0.000
Nd  0.000  0.000  0.500
Nd  0.000  0.500  0.000
Nd  0.500  0.000  0.500
S  0.750  0.750  0.750
S  0.250  0.250  0.250
S  0.747  0.253  0.253
S  0.253  0.747  0.747
S  0.253  0.253  0.747
S  0.747  0.747  0.253
S  0.747  0.253  0.747
S  0.253  0.747  0.253

- Crystal system: cubic
- Magnetic moment: 0.000 μB/atom
- Density of states at the Fermi level: 3.86 states/eV/cell

***

The least stable of them is run a.